Nb3CdGe | GGA-PBE | optimized geometry

Computed properties:
Its formation energy is 0.78 eV/atom. The size of the total moment comes out at 0.00 μB/f.u. The energy above the lowest structure with this stoichiometry comes out at 0.0 meV per atom.

a = 4.7918 Å, b = 4.7918 Å, c = 4.7918 Å
α = 90.00°, β = 90.00°, γ = 90.00°
Element x y z (fractional)
1 Nb 0.0000 0.0000 0.5000
2 Nb 0.5000 0.0000 0.0000
3 Nb 0.0000 0.5000 0.0000
4 Ge 0.0000 0.0000 0.0000
5 Cd 0.5000 0.5000 0.5000

=====

Nb3CdGe | GGA-PBE | optimized geometry

Computed properties:
Its formation energy is 1.88 eV/atom. The size of the total moment comes out at 0.00 μB/f.u. The energy above the lowest structure with this stoichiometry comes out at 1103.2 meV per atom.

a = 4.9756 Å, b = 4.9756 Å, c = 4.9756 Å
α = 90.00°, β = 90.00°, γ = 90.00°
Element x y z (fractional)
1 Nb 0.0000 0.5000 0.0000
2 Nb 0.0000 0.0000 0.5000
3 Nb 0.5000 0.0000 0.0000
4 Cd 0.0000 0.0000 0.0000
5 Ge 0.5000 0.5000 0.5000

=====

NbCdGe3 | GGA-PBE | optimized geometry

Computed properties:
Its formation energy is 0.38 eV/atom. The size of the total moment comes out at 0.00 μB/f.u. The energy above the lowest structure with this stoichiometry comes out at 0.0 meV per atom.

a = 5.0677 Å, b = 5.0677 Å, c = 5.0677 Å
α = 90.00°, β = 90.00°, γ = 90.00°
Element x y z (fractional)
1 Ge 0.0000 0.5000 0.0000
2 Ge 0.0000 0.0000 0.5000
3 Ge 0.5000 0.0000 0.0000
4 Cd 0.5000 0.5000 0.5000
5 Nb 0.0000 0.0000 0.0000

=====

NbCd3Ge | GGA-PBE | optimized geometry

Computed properties:
Its formation energy is 1.18 eV/atom. The size of the total moment comes out at 0.51 μB/f.u. The energy above the lowest structure with this stoichiometry comes out at 112.7 meV per atom.

a = 5.3716 Å, b = 5.3716 Å, c = 5.3716 Å
α = 90.00°, β = 90.00°, γ = 90.00°
Site moments in Bohr magnetons follow the coordinates.
Element x y z (fractional)
1 Cd 0.0000 0.5000 0.0000  0.02
2 Cd 0.0000 0.0000 0.5000  0.01
3 Cd 0.5000 0.0000 0.0000  0.01
4 Nb 0.0000 0.0000 0.0000  0.45
5 Ge 0.5000 0.5000 0.5000  -0.05

=====

NbCd2GeO6 | GGA-PBE | optimized geometry

Computed properties:
Its formation energy from raw total energies is -1525 meV per atom. The size of the total moment comes out at 0.00 μB/f.u.

a = 4.9092 Å, b = 5.2239 Å, c = 5.2239 Å
α = 90.00°, β = 90.00°, γ = 90.00°
Element x y z (fractional)
1 Nb 0.5696 0.5000 0.5000
2 O 0.1953 0.5000 0.5000
3 O 0.2189 0.0000 0.0000
4 O 0.7033 0.7564 0.7564
5 O 0.7033 0.7564 0.2436
6 O 0.7033 0.2436 0.7564
7 O 0.7033 0.2436 0.2436
8 Cd 0.0349 0.0000 0.5000
9 Cd 0.0349 0.5000 0.0000
10 Ge 0.5802 0.0000 0.0000

=====

NbCdGePt2 | GGA-PBE | optimized geometry

Computed properties:
Its formation energy is 1.34 eV/atom. The size of the total moment comes out at 0.00 μB/f.u. The energy above the lowest structure with this stoichiometry comes out at 656.3 meV per atom.

a = 4.8965 Å, b = 4.7105 Å, c = 4.8965 Å
α = 90.00°, β = 90.00°, γ = 90.00°
Element x y z (fractional)
1 Nb 0.5000 0.5000 0.5000
2 Cd 0.0000 0.0000 0.0000
3 Pt 0.5000 0.0000 0.0000
4 Pt 0.0000 0.0000 0.5000
5 Ge 0.0000 0.5000 0.0000

=====

NbCdGePt2 | GGA-PBE | optimized geometry

Computed properties:
Its formation energy is 0.68 eV/atom. The size of the total moment comes out at 2.53 μB/f.u. The energy above the lowest structure with this stoichiometry comes out at 0.0 meV per atom.

a = 4.6676 Å, b = 4.8513 Å, c = 4.6676 Å
α = 90.00°, β = 90.00°, γ = 90.00°
Site moments in Bohr magnetons follow the coordinates.
Element x y z (fractional)
1 Cd 0.0000 0.5000 0.0000  0.01
2 Nb 0.5000 0.5000 0.5000  2.04
3 Pt 0.5000 0.0000 0.0000  0.00
4 Pt 0.0000 0.0000 0.5000  0.00
5 Ge 0.0000 0.0000 0.0000  -0.02

=====

NbCdGeRu2 | GGA-PBE | optimized geometry

Computed properties:
Its formation energy is 2.13 eV/atom. The size of the total moment comes out at 0.00 μB/f.u.

a = 4.8054 Å, b = 4.9631 Å, c = 4.8054 Å
α = 90.00°, β = 90.00°, γ = 90.00°
Element x y z (fractional)
1 Nb 0.0000 0.5000 0.0000
2 Cd 0.0000 0.0000 0.0000
3 Ru 0.0000 0.0000 0.5000
4 Ru 0.5000 0.0000 0.0000
5 Ge 0.5000 0.5000 0.5000